This record from Alexandria via LeMat-Bulk describes a relaxed Ti5VCo2Pd2 crystal. The functional is PBE.

Unit cell a=3.1300 b=9.8267 c=9.8267 alpha=90.00 beta=90.00 gamma=90.00
Last column: nearest neighbours and their distance in Å.
Fractional coordinates of all 20 atoms:
Ti 0.5000 0.3021 0.5764  2 Co 2.38, 2 V 2.61
Ti 0.5000 0.1979 0.0764  2 Co 2.38, 2 V 2.61
Ti 0.5000 0.8021 0.9236  2 Co 2.38, 2 V 2.61
Co 0.0000 0.3729 0.1271  6 Ti 2.36-2.38
Ti 0.5000 0.0764 0.8021  2 Co 2.38, 2 V 2.61
Pd 0.0000 0.3294 0.8294  3 Co 2.81-2.96, 6 Ti 2.84-2.95, 2 Pd 3.13
Ti 0.5000 0.5764 0.6979  2 Co 2.38, 2 V 2.61
V 0.0000 0.5000 0.5000  8 Ti 2.61
Ti 0.5000 0.0000 0.5000  4 Co 2.36
Ti 0.5000 0.6979 0.4236  2 Co 2.38, 2 V 2.61
Ti 0.5000 0.4236 0.3021  2 Co 2.38, 2 V 2.61
Co 0.0000 0.8729 0.3729  6 Ti 2.36-2.38
Pd 0.0000 0.8294 0.6706  3 Co 2.81-2.96, 6 Ti 2.84-2.95, 2 Pd 3.13
Ti 0.5000 0.5000 0.0000  4 Co 2.36
V 0.0000 0.0000 0.0000  8 Ti 2.61
Co 0.0000 0.6271 0.8729  6 Ti 2.36-2.38
Co 0.0000 0.1271 0.6271  6 Ti 2.36-2.38
Pd 0.0000 0.6706 0.1706  3 Co 2.81-2.96, 6 Ti 2.84-2.95, 2 Pd 3.13
Pd 0.0000 0.1706 0.3294  3 Co 2.81-2.96, 6 Ti 2.84-2.95, 2 Pd 3.13
Ti 0.5000 0.9236 0.1979  2 Co 2.38, 2 V 2.61

Computed properties:
**Energy of formation from the pure elements**: -0.160 eV/atom
**Calculated total energy**: -74.8 eV/f.u.